The following is a PBE calculation of crystalline HoGa4Ru2Pt at its relaxed geometry, from Alexandria via LeMat-Bulk.

Results
Fermi-level density of states: 4.94 states/eV per cell
Volume: 16.7 A^3/atom
Magnetization: 0.0 μB/f.u.
Energy of formation from the pure elements: -367 kJ/mol of formula units
Space-group type: R-3m

abc: 4.274 4.274 8.790
angles: 75.93 75.93 60.00
Sites, in units of the cell vectors:
Ga1 0.604 0.604 0.189
Ga2 0.128 0.128 0.617
Ga3 0.396 0.396 0.811
Ga4 0.872 0.872 0.383
Pt1 0.500 0.500 0.500
Ho1 0.000 0.000 0.000
Ru1 0.235 0.235 0.294
Ru2 0.765 0.765 0.706